(1)
The following is a DFT calculation (PBE-GGA) of crystalline RhI2Cl at its relaxed geometry.

The structure belongs to space group P1 (No. 1); the cell edges are 3.977, 4.828 and 6.925 Å and the angles 110.09°, 106.50° and 90.03°. The asymmetric unit holds Rh at (0.000, 0.000, 0.000), I at (0.362, 0.855, 0.706), I at (0.645, 0.142, 0.287) and Cl at (0.030, 0.474, 0.947).

As for the density: 5.47 Mg/m³. As for the size of the total moment: 0.0 μB/cell. The raw formation energy is -0.95 eV per formula unit.

=====

(2)
The following is a DFT calculation (PBE-GGA) of crystalline RhICl2 at its relaxed geometry.

The structure belongs to space group R-3m (No. 166, hexagonal axes); the cell edges are 3.5401, 3.5401 and 32.9072 Å and the angles 90.00°, 90.00° and 120.00°. The asymmetric unit holds Rh at (0.0000, 0.0000, 0.0000), I at (0.0000, 0.0000, 0.5000) and Cl at (0.0000, 0.0000, 0.3744).

As for the density: 4.19 Mg/m³. As for the size of the total moment: 2.3 μB/cell. The raw formation energy is -0.47 eV per formula unit.

=====

(3)
The following is a DFT calculation (PBE-GGA) of crystalline RhICl2 at its relaxed geometry.

The structure belongs to space group I-42d (No. 122); the cell edges are 7.142, 7.142 and 10.006 Å and the angles 90.00°, 90.00° and 90.00°. The asymmetric unit holds Rh at (0.000, 0.000, 0.000), I at (0.000, 0.000, 0.500) and Cl at (0.094, 0.750, 0.125).

As for the density: 3.91 Mg/m³. As for the size of the total moment: 0.0 μB/cell. The raw formation energy is 0.65 eV per formula unit.